1.
A plane-wave DFT calculation with PBE was carried out for crystalline Pa2TiSn at its relaxed geometry.

Lattice parameters (Å, degrees): 3.971 3.971 6.219 90.00 90.00 90.00
Positions (direct):
Pa: 0.000 0.000 0.238
Pa: 0.000 0.000 0.762
Ti: 0.500 0.500 0.500
Sn: 0.500 0.500 0.000

Summary:
energy: -7.65 eV/atom
SG: P4/mmm (123)
distance to the lowest polymorph of the same formula: 25.30 kJ per mole of atoms

---

2.
A plane-wave DFT calculation with PBE was carried out for crystalline TmPaTiSn at its relaxed geometry.

Lattice parameters (Å, degrees): 7.137 7.137 7.137 90.00 90.00 90.00
Positions (direct):
Tm: 0.000 0.000 0.000
Tm: 0.000 0.500 0.500
Tm: 0.500 0.000 0.500
Tm: 0.500 0.500 0.000
Pa: 0.250 0.250 0.250
Pa: 0.250 0.750 0.750
Pa: 0.750 0.250 0.750
Pa: 0.750 0.750 0.250
Ti: 0.000 0.000 0.500
Ti: 0.000 0.500 0.000
Ti: 0.500 0.000 0.000
Ti: 0.500 0.500 0.500
Sn: 0.250 0.250 0.750
Sn: 0.250 0.750 0.250
Sn: 0.750 0.250 0.250
Sn: 0.750 0.750 0.750

Summary:
energy: -6.47 eV/atom
SG: F-43m (216)

---

3.
A plane-wave DFT calculation with PBE was carried out for crystalline PaTiVSn at its relaxed geometry.

Lattice parameters (Å, degrees): 6.736 6.736 6.736 90.00 90.00 90.00
Positions (direct):
Pa: 0.000 0.000 0.000
Pa: 0.000 0.500 0.500
Pa: 0.500 0.000 0.500
Pa: 0.500 0.500 0.000
Ti: 0.250 0.250 0.750
Ti: 0.250 0.750 0.250
Ti: 0.750 0.250 0.250
Ti: 0.750 0.750 0.750
V: 0.250 0.250 0.250
V: 0.250 0.750 0.750
V: 0.750 0.250 0.750
V: 0.750 0.750 0.250
Sn: 0.000 0.000 0.500
Sn: 0.000 0.500 0.000
Sn: 0.500 0.000 0.000
Sn: 0.500 0.500 0.500

Summary:
energy: -7.74 eV/atom
SG: F-43m (216)

---

4.
A plane-wave DFT calculation with PBE was carried out for crystalline ZrPaTiSn at its relaxed geometry.

Lattice parameters (Å, degrees): 6.991 6.991 6.991 90.00 90.00 90.00
Positions (direct):
Zr: 0.000 0.000 0.000
Zr: 0.000 0.500 0.500
Zr: 0.500 0.000 0.500
Zr: 0.500 0.500 0.000
Pa: 0.250 0.250 0.250
Pa: 0.250 0.750 0.750
Pa: 0.750 0.250 0.750
Pa: 0.750 0.750 0.250
Ti: 0.000 0.000 0.500
Ti: 0.000 0.500 0.000
Ti: 0.500 0.000 0.000
Ti: 0.500 0.500 0.500
Sn: 0.250 0.250 0.750
Sn: 0.250 0.750 0.250
Sn: 0.750 0.250 0.250
Sn: 0.750 0.750 0.750

Summary:
energy: -7.62 eV/atom
SG: F-43m (216)

---

5.
A plane-wave DFT calculation with PBE was carried out for crystalline PaTl2Sn at its relaxed geometry.

Lattice parameters (Å, degrees): 4.634 4.634 4.878 90.00 90.00 90.00
Positions (direct):
Pa: 0.000 0.000 0.000
Tl: 0.000 0.500 0.500
Tl: 0.500 0.000 0.500
Sn: 0.500 0.500 0.000

Summary:
energy: -4.59 eV/atom
SG: P4/mmm (123)
distance to the lowest polymorph of the same formula: 0.00 kJ per mole of atoms

---

6.
A plane-wave DFT calculation with PBE was carried out for crystalline Pa2TlSn at its relaxed geometry.

Lattice parameters (Å, degrees): 4.724 4.724 4.626 90.00 90.00 90.00
Positions (direct):
Pa: 0.000 0.500 0.000
Pa: 0.500 0.000 0.000
Tl: 0.000 0.000 0.500
Sn: 0.500 0.500 0.500

Summary:
energy: -6.31 eV/atom
SG: P4/mmm (123)
distance to the lowest polymorph of the same formula: 0.00 kJ per mole of atoms

---

7.
A plane-wave DFT calculation with PBE was carried out for crystalline Pa2TlSn at its relaxed geometry.

Lattice parameters (Å, degrees): 7.559 7.559 7.559 90.00 90.00 90.00
Positions (direct):
Pa: 0.250 0.250 0.250
Pa: 0.250 0.250 0.750
Pa: 0.250 0.750 0.250
Pa: 0.250 0.750 0.750
Pa: 0.750 0.250 0.250
Pa: 0.750 0.250 0.750
Pa: 0.750 0.750 0.250
Pa: 0.750 0.750 0.750
Tl: 0.000 0.000 0.000
Tl: 0.000 0.500 0.500
Tl: 0.500 0.000 0.500
Tl: 0.500 0.500 0.000
Sn: 0.000 0.000 0.500
Sn: 0.000 0.500 0.000
Sn: 0.500 0.000 0.000
Sn: 0.500 0.500 0.500

Summary:
energy: -6.17 eV/atom
SG: Fm-3m (225)
distance to the lowest polymorph of the same formula: 14.03 kJ per mole of atoms

---

8.
A plane-wave DFT calculation with PBE was carried out for crystalline PaTlSn at its relaxed geometry.

Lattice parameters (Å, degrees): 5.387 5.387 3.105 90.00 90.00 120.00
Positions (direct):
Pa: 0.000 0.000 0.000
Tl: 0.333 0.667 0.502
Sn: 0.667 0.333 0.499

Summary:
energy: -5.17 eV/atom
SG: P3m1 (156)
distance to the lowest polymorph of the same formula: 0.00 kJ per mole of atoms

---

9.
A plane-wave DFT calculation with PBE was carried out for crystalline PaTlSn at its relaxed geometry.

Lattice parameters (Å, degrees): 3.242 3.242 15.301 90.00 90.00 90.00
Positions (direct):
Pa: 0.000 0.000 0.000
Pa: 0.500 0.500 0.500
Tl: 0.000 0.000 0.334
Tl: 0.500 0.500 0.834
Sn: 0.000 0.000 0.656
Sn: 0.500 0.500 0.156

Summary:
energy: -5.13 eV/atom
SG: I4mm (107)
distance to the lowest polymorph of the same formula: 3.77 kJ per mole of atoms

---

10.
A plane-wave DFT calculation with PBE was carried out for crystalline PaTl2Sn at its relaxed geometry.

Lattice parameters (Å, degrees): 3.313 3.313 36.145 90.00 90.00 120.00
Positions (direct):
Pa: 0.000 0.000 0.000
Pa: 0.333 0.667 0.667
Pa: 0.667 0.333 0.333
Tl: 0.000 0.000 0.089
Tl: 0.000 0.000 0.911
Tl: 0.333 0.667 0.578
Tl: 0.333 0.667 0.756
Tl: 0.667 0.333 0.244
Tl: 0.667 0.333 0.422
Sn: 0.000 0.000 0.500
Sn: 0.333 0.667 0.167
Sn: 0.667 0.333 0.833

Summary:
energy: -4.25 eV/atom
SG: R-3m (166)
distance to the lowest polymorph of the same formula: 32.81 kJ per mole of atoms

---

11.
A plane-wave DFT calculation with PBE was carried out for crystalline Pa2TlSn at its relaxed geometry.

Lattice parameters (Å, degrees): 3.337 3.337 9.255 90.00 90.00 90.00
Positions (direct):
Pa: 0.000 0.000 0.245
Pa: 0.000 0.000 0.755
Tl: 0.500 0.500 0.500
Sn: 0.500 0.500 0.000

Summary:
energy: -6.31 eV/atom
SG: P4/mmm (123)
distance to the lowest polymorph of the same formula: 0.58 kJ per mole of atoms

---

12.
A plane-wave DFT calculation with PBE was carried out for crystalline PaTlSn at its relaxed geometry.

Lattice parameters (Å, degrees): 4.419 4.493 4.729 90.00 90.00 90.00
Positions (direct):
Pa: 0.000 0.000 0.000
Tl: 0.000 0.500 0.500
Sn: 0.500 0.500 0.000

Summary:
energy: -5.03 eV/atom
SG: Pmmm (47)
distance to the lowest polymorph of the same formula: 13.41 kJ per mole of atoms

---

> Which value of energy does entry 5 give?

-4.59 eV/atom